# 1
Below is crystalline La4Pr4Nd3 at its relaxed geometry, with properties calculated at the PBE level.

Calculated values
SG = Amm2
DOS at the Fermi energy = 1.801 states/eV per atom
ρ = 6.42 Mg/m³
calculated total energy = -4.71 eV/atom
ΔE to the lowest computed polymorph = 7.8 meV per atom
energy relative to the elements = 0.125 eV per atom
crystal system = orthorhombic

Unit cell a=5.9247 b=6.8203 c=11.0326 alpha=90.00 beta=90.00 gamma=115.74
Last column: nearest neighbours and their distance in Å.
Sites, in units of the cell vectors:
La: 0.7615 0.5230 0.7954  2 La 3.28-3.60, 1 Pr 3.45, 2 Nd 3.60
La: 0.7615 0.5230 0.2046  2 La 3.28-3.60, 1 Pr 3.45, 2 Nd 3.60
La: 0.8860 0.7720 0.5000  3 Pr 3.43-3.48, 2 La 3.60, 4 Nd 3.74
La: 0.9552 0.9103 0.0000  2 Pr 3.18, 2 La 3.28
Pr: 0.6066 0.2132 0.5000  2 Nd 3.33, 1 La 3.43, 4 Pr 3.68
Pr: 0.5487 0.0974 0.0000  4 La 3.18-3.45
Pr: 0.1062 0.2124 0.6977  4 La 3.48-3.82, 2 Pr 3.68, 4 Nd 3.70-3.84
Pr: 0.1062 0.2124 0.3023  4 La 3.48-3.82, 2 Pr 3.68, 4 Nd 3.70-3.84
Nd: 0.4074 0.8148 0.2952  3 Pr 3.33-3.70, 2 La 3.60
Nd: 0.4074 0.8148 0.7048  3 Pr 3.33-3.70, 2 La 3.60
Nd: 0.2518 0.5035 0.0000  7 La 3.64-3.88, 5 Pr 3.65-3.87, 2 Nd 3.78



# 2
Below is crystalline CaZn9Ag2 at its relaxed geometry, with properties calculated at the PBE level.

Calculated values
SG = R-3m
DOS at the Fermi energy = 0.376 states/eV per atom
ρ = 7.06 Mg/m³
calculated total energy = -1.72 eV/atom
ΔE to the lowest computed polymorph = 0.0 meV per atom
energy relative to the elements = -0.123 eV per atom
crystal system = trigonal

Unit cell a=5.2096 b=5.2096 c=8.9650 alpha=73.11 beta=73.11 gamma=60.00
Last column: nearest neighbours and their distance in Å.
Sites, in units of the cell vectors:
Ca: 0.0000 0.0000 0.0000  6 Zn 3.01
Zn: 0.6668 0.6668 0.9997  6 Zn 2.64-2.67
Zn: 0.3332 0.3332 0.0003  6 Zn 2.64-2.67
Zn: 0.5000 0.5000 0.5000  6 Zn 2.54
Zn: 0.4111 0.4111 0.2593  7 Zn 2.54-2.67
Zn: 0.9185 0.4111 0.2593  7 Zn 2.54-2.67
Zn: 0.4111 0.9185 0.2593  7 Zn 2.54-2.67
Zn: 0.5889 0.5889 0.7407  7 Zn 2.54-2.67
Zn: 0.5889 0.0815 0.7407  7 Zn 2.54-2.67
Zn: 0.0815 0.5889 0.7407  7 Zn 2.54-2.67
Ag: 0.8608 0.8608 0.4177  12 Zn 2.93-3.10
Ag: 0.1392 0.1392 0.5823  12 Zn 2.93-3.10



# 3
Below is crystalline YCuOs at its relaxed geometry, with properties calculated at the PBE level.

Calculated values
SG = P-6m2
DOS at the Fermi energy = 0.824 states/eV per atom
ρ = 9.96 Mg/m³
calculated total energy = -7.18 eV/atom
ΔE to the lowest computed polymorph = 334.5 meV per atom
energy relative to the elements = 0.082 eV per atom
crystal system = hexagonal

Unit cell a=4.2189 b=4.2189 c=3.7058 alpha=90.00 beta=90.00 gamma=120.00
Last column: nearest neighbours and their distance in Å.
Sites, in units of the cell vectors:
Cu: 0.0000 0.0000 0.1667  3 Os 2.44
Os: 0.6667 0.3333 0.1667  3 Cu 2.44
Y: 0.3333 0.6667 0.6667  6 Os 3.06, 6 Cu 3.06